Record 1
First-principles (PBE) data for a relaxed DyThFeNi crystal, as listed in Alexandria via LeMat-Bulk.

a b c (Å): 4.8364 4.8364 4.8364
angles (deg): 60.00 60.00 60.00
Atoms (fractional coordinates):
1 Dy 0.5000 0.5000 0.5000
2 Ni 0.2500 0.2500 0.2500
3 Fe 0.7500 0.7500 0.7500
4 Th 0.0000 0.0000 0.0000

Properties
- SG: F-43m (216)
- VASP energy: -26.68 eV/cell
- Crystal system: cubic

=====

Record 2
First-principles (PBE) data for a relaxed DyTmFeNi crystal, as listed in Alexandria via LeMat-Bulk.

a b c (Å): 4.6936 4.6936 4.6936
angles (deg): 60.00 60.00 60.00
Atoms (fractional coordinates):
1 Dy 0.0000 0.0000 0.0000
2 Tm 0.5000 0.5000 0.5000
3 Ni 0.2500 0.2500 0.2500
4 Fe 0.7500 0.7500 0.7500

Properties
- SG: F-43m (216)
- VASP energy: -23.79 eV/cell
- Crystal system: cubic

=====

Q: Which of these has the highest VASP energy?
A: DyTmFeNi

=====

Q: Which of these has the lowest VASP energy?
A: DyThFeNi

=====

What did the first record say?
First-principles (PBE) data for a relaxed DyThFeNi crystal, as listed in Alexandria via LeMat-Bulk.

a b c (Å): 4.8364 4.8364 4.8364
angles (deg): 60.00 60.00 60.00
Atoms (fractional coordinates):
1 Dy 0.5000 0.5000 0.5000
2 Ni 0.2500 0.2500 0.2500
3 Fe 0.7500 0.7500 0.7500
4 Th 0.0000 0.0000 0.0000

Properties
- SG: F-43m (216)
- VASP energy: -26.68 eV/cell
- Crystal system: cubic